1.
VASP calculation (GGA-PBE) on a relaxed Tb4CoBi crystal.

Cell lengths 9.877, 9.877, 9.681 Å; angles 115.05, 115.05, 31.32 degrees
Fractional positions:
Tb 0.027 0.027 0.199
Tb 0.189 0.189 0.891
Tb 0.244 0.244 0.324
Tb 0.384 0.384 0.938
Tb 0.616 0.616 0.062
Tb 0.756 0.756 0.676
Tb 0.811 0.811 0.109
Tb 0.973 0.973 0.801
Co 0.113 0.113 0.056
Co 0.887 0.887 0.944
Bi 0.159 0.159 0.548
Bi 0.841 0.841 0.452

Computed properties:
* uncorrected energy: -60.39 eV/cell
* volume: 440.9 Å³/cell
* crystal system: monoclinic
* total magnetization: 0.00 μB per atom
* formation enthalpy at 0 K: -0.115 eV per atom

=====

2.
VASP calculation (GGA-PBE) on a relaxed Tb12Co6Bi crystal.

Cell lengths 8.447, 8.447, 8.447 Å; angles 109.47, 109.47, 109.47 degrees
Fractional positions:
Tb 0.110 0.804 0.307
Tb 0.196 0.307 0.503
Tb 0.196 0.693 0.890
Tb 0.307 0.110 0.804
Tb 0.307 0.503 0.196
Tb 0.497 0.804 0.693
Tb 0.503 0.196 0.307
Tb 0.693 0.497 0.804
Tb 0.693 0.890 0.196
Tb 0.804 0.307 0.110
Tb 0.804 0.693 0.497
Tb 0.890 0.196 0.693
Co 0.112 0.612 0.500
Co 0.388 0.500 0.888
Co 0.500 0.112 0.612
Co 0.500 0.888 0.388
Co 0.612 0.500 0.112
Co 0.888 0.388 0.500
Bi 0.000 0.000 0.000

Computed properties:
* uncorrected energy: -107.35 eV/cell
* volume: 463.9 Å³/cell
* crystal system: cubic
* total magnetization: 0.00 μB per atom
* formation enthalpy at 0 K: -0.277 eV per atom

=====

- volume of number 2 (Tb12Co6Bi)?
  463.9 Å³/cell

=====

Please write out number 2 again, unchanged.
VASP calculation (GGA-PBE) on a relaxed Tb12Co6Bi crystal.

Cell lengths 8.447, 8.447, 8.447 Å; angles 109.47, 109.47, 109.47 degrees
Fractional positions:
Tb 0.110 0.804 0.307
Tb 0.196 0.307 0.503
Tb 0.196 0.693 0.890
Tb 0.307 0.110 0.804
Tb 0.307 0.503 0.196
Tb 0.497 0.804 0.693
Tb 0.503 0.196 0.307
Tb 0.693 0.497 0.804
Tb 0.693 0.890 0.196
Tb 0.804 0.307 0.110
Tb 0.804 0.693 0.497
Tb 0.890 0.196 0.693
Co 0.112 0.612 0.500
Co 0.388 0.500 0.888
Co 0.500 0.112 0.612
Co 0.500 0.888 0.388
Co 0.612 0.500 0.112
Co 0.888 0.388 0.500
Bi 0.000 0.000 0.000

Computed properties:
* uncorrected energy: -107.35 eV/cell
* volume: 463.9 Å³/cell
* crystal system: cubic
* total magnetization: 0.00 μB per atom
* formation enthalpy at 0 K: -0.277 eV per atom

=====

- Among the records above, which one has the highest uncorrected energy?
  Tb4CoBi